{
  "formula": "Li2ZnCu",
  "functional": "SCAN",
  "state": "PBEsol geometry",
  "cell": [[-1.532, 2.001, 4.275], [1.532, -2.001, 4.275], [1.532, 2.001, -4.275]],
  "species": ["Li", "Li", "Zn", "Cu"],
  "fractional_positions": [[0.244, 0.244, 0.000], [0.756, 0.756, 0.000], [0.500, 0.000, 0.500], [0.000, 0.500, 0.500]],
  "space_group": "Immm, No. 71"
}

{
  "formula": "LiZn2Cu",
  "functional": "SCAN",
  "state": "PBEsol geometry",
  "cell": [[4.367, -1.291, 0.000], [4.367, 1.291, 0.000], [-0.677, 0.000, 4.550]],
  "species": ["Li", "Zn", "Zn", "Cu"],
  "fractional_positions": [[0.000, 0.000, 0.000], [0.243, 0.243, 0.750], [0.496, 0.496, 0.488], [0.756, 0.756, 0.249]],
  "space_group": "Cm, No. 8"
}

Number 1: formation energy -0.089 eV per atom, DOS at the Fermi energy 1.60 states/eV per cell. Number 2: formation energy -0.132 eV per atom, DOS at the Fermi energy 1.01 states/eV per cell.